This record from Alexandria describes a relaxed structure of Na2CuSn. The functional is PBE.

- Calculated density: 3.91 g/cm3
- Calculated total energy: -0.2000 Ry/atom
- Formation energy from the elements: -0.037 eV per atom

Lattice parameters (Å, degrees): 6.172 6.172 5.369 90.00 90.00 71.21
Positions (direct):
Na  0.015  0.357  0.250
Na  0.357  0.015  0.750
Na  0.643  0.985  0.250
Na  0.985  0.643  0.750
Cu  0.500  0.500  0.000
Cu  0.500  0.500  0.500
Sn  0.187  0.813  0.250
Sn  0.813  0.187  0.750